An optimized crystal structure of LiTa2TePb, computed with GGA-PBE.

The structure in extended XYZ format:
```
5
Lattice="-4.6696 -1.1248 -1.2194 1.4398 -3.2127 -2.5503 -0.2413 -3.1433 3.8235" Properties=species:S:1:pos:R:3 pbc="T T T"
Ta -2.3348 -0.5624 -0.6097
Ta -0.1206 -1.5717 1.9117
Pb -1.7355 -3.7404 0.0269
Li 0.0000 0.0000 0.0000
Te 0.7199 -1.6063 -1.2752
```

Calculated values
raw formation energy: 1.10 eV per atom
spin magnetization: 0.00 μB/cell
final energy: -5.3890 eV/atom
volume: 21.35 A^3/atom
DOS at the Fermi energy: 0.8745 states/eV per atom